The following is a DFT calculation (PBE) of TbPrAu2 after structural relaxation.

Summary:
- VASP energy (eV per atom) = -4.8087
- mass density (g cm⁻³) = 11.4
- space group = Amm2

Cell lengths 4.740, 5.911, 5.911 Å; angles 37.67, 90.00, 90.00 degrees
Fractional coordinates of all 4 atoms:
Au 0.500 0.088 0.088
Au 0.000 0.913 0.913
Pr 0.500 0.361 0.361
Tb 0.000 0.637 0.637


The following is a DFT calculation (PBE) of Pr2Te3Au after structural relaxation.

Summary:
- VASP energy (eV per atom) = -4.8410
- mass density (g cm⁻³) = 7.8
- space group = Pnma
- energy above the most stable polymorph in this dataset (eV/atom) = 0.000

Cell lengths 8.585, 4.363, 19.599 Å; angles 90.00, 90.00, 90.00 degrees
Fractional coordinates of all 24 atoms:
Au 0.429 0.750 0.100
Au 0.929 0.750 0.400
Au 0.071 0.250 0.600
Au 0.571 0.250 0.900
Pr 0.290 0.250 0.003
Pr 0.073 0.250 0.204
Pr 0.573 0.250 0.296
Pr 0.790 0.250 0.497
Pr 0.210 0.750 0.503
Pr 0.427 0.750 0.704
Pr 0.927 0.750 0.796
Pr 0.710 0.750 0.997
Te 0.053 0.750 0.080
Te 0.644 0.250 0.114
Te 0.332 0.750 0.239
Te 0.832 0.750 0.261
Te 0.144 0.250 0.386
Te 0.553 0.750 0.420
Te 0.447 0.250 0.580
Te 0.856 0.750 0.614
Te 0.168 0.250 0.739
Te 0.668 0.250 0.761
Te 0.356 0.750 0.886
Te 0.947 0.250 0.920


The following is a DFT calculation (PBE) of Pr2Te3Au after structural relaxation.

Summary:
- VASP energy (eV per atom) = -4.8107
- mass density (g cm⁻³) = 7.9
- space group = Pnma
- energy above the most stable polymorph in this dataset (eV/atom) = 0.030

Cell lengths 11.304, 4.260, 15.005 Å; angles 90.00, 90.00, 90.00 degrees
Fractional coordinates of all 24 atoms:
Au 0.256 0.250 0.219
Au 0.756 0.250 0.281
Au 0.244 0.750 0.719
Au 0.744 0.750 0.781
Pr 0.262 0.750 0.023
Pr 0.514 0.750 0.250
Pr 0.014 0.750 0.250
Pr 0.762 0.750 0.477
Pr 0.238 0.250 0.523
Pr 0.986 0.250 0.750
Pr 0.486 0.250 0.750
Pr 0.738 0.250 0.977
Te 0.070 0.250 0.095
Te 0.452 0.250 0.098
Te 0.764 0.750 0.146
Te 0.264 0.750 0.354
Te 0.952 0.250 0.402
Te 0.570 0.250 0.405
Te 0.430 0.750 0.595
Te 0.048 0.750 0.598
Te 0.736 0.250 0.646
Te 0.236 0.250 0.854
Te 0.548 0.750 0.902
Te 0.930 0.750 0.905


The following is a DFT calculation (PBE) of PrTlTe3Au after structural relaxation.

Summary:
- VASP energy (eV per atom) = -4.0058
- mass density (g cm⁻³) = 7.9
- space group = Cmcm

Cell lengths 8.157, 8.157, 11.550 Å; angles 90.00, 90.00, 149.66 degrees
Fractional coordinates of all 12 atoms:
Au 0.531 0.469 0.250
Au 0.469 0.531 0.750
Pr 0.000 0.000 0.000
Pr 0.000 0.000 0.500
Te 0.643 0.357 0.062
Te 0.916 0.084 0.250
Te 0.643 0.357 0.438
Te 0.357 0.643 0.562
Te 0.084 0.916 0.750
Te 0.357 0.643 0.938
Tl 0.240 0.760 0.250
Tl 0.760 0.240 0.750


The following is a DFT calculation (PBE) of PrTlAu after structural relaxation.

Summary:
- VASP energy (eV per atom) = -4.0763
- mass density (g cm⁻³) = 11.5
- space group = Cmcm

Cell lengths 5.266, 5.266, 6.508 Å; angles 90.00, 90.00, 120.07 degrees
Fractional coordinates of all 6 atoms:
Au 0.334 0.666 0.250
Au 0.666 0.334 0.750
Pr 0.667 0.333 0.250
Pr 0.333 0.667 0.750
Tl 0.000 0.000 0.000
Tl 0.000 0.000 0.500


The following is a DFT calculation (PBE) of PrTmAu after structural relaxation.

Summary:
- VASP energy (eV per atom) = -4.1339
- mass density (g cm⁻³) = 10.1
- space group = F-43m

Cell lengths 4.906, 4.906, 4.906 Å; angles 60.00, 60.00, 60.00 degrees
Fractional coordinates of all 3 atoms:
Au 0.250 0.250 0.250
Pr 0.750 0.750 0.750
Tm 0.000 0.000 0.000


The following is a DFT calculation (PBE) of PrUAu after structural relaxation.

Summary:
- VASP energy (eV per atom) = -5.9248
- mass density (g cm⁻³) = 11.3
- space group = F-43m
- energy above the most stable polymorph in this dataset (eV/atom) = 0.000

Cell lengths 4.922, 4.922, 4.922 Å; angles 60.00, 60.00, 60.00 degrees
Fractional coordinates of all 3 atoms:
Au 0.250 0.250 0.250
Pr 0.750 0.750 0.750
U 0.000 0.000 0.000


The following is a DFT calculation (PBE) of PrWAu after structural relaxation.

Summary:
- VASP energy (eV per atom) = -5.6424
- mass density (g cm⁻³) = 10.6
- space group = F-43m

Cell lengths 4.870, 4.870, 4.870 Å; angles 60.00, 60.00, 60.00 degrees
Fractional coordinates of all 3 atoms:
Au 0.250 0.250 0.250
Pr 0.000 0.000 0.000
W 0.750 0.750 0.750